{
  "formula": "Y2ZrPt",
  "functional": "PBE",
  "state": "relaxed",
  "polymorph_energy_ev_per_atom": 0.274,
  "e_form_ev_per_atom": -0.28,
  "crystal_system": "cubic",
  "dos_ef_per_ev_atom": 1.03,
  "m_tot_mub_per_atom": 0.67,
  "lattice": [[7.226, 0.000, 0.000], [0.000, 7.226, 0.000], [0.000, 0.000, 7.226]],
  "species": ["Y", "Y", "Y", "Y", "Y", "Y", "Y", "Y", "Zr", "Zr", "Zr", "Zr", "Pt", "Pt", "Pt", "Pt"],
  "fractional_positions": [[0.250, 0.250, 0.250], [0.250, 0.250, 0.750], [0.250, 0.750, 0.250], [0.250, 0.750, 0.750], [0.750, 0.250, 0.250], [0.750, 0.250, 0.750], [0.750, 0.750, 0.250], [0.750, 0.750, 0.750], [0.000, 0.000, 0.000], [0.000, 0.500, 0.500], [0.500, 0.000, 0.500], [0.500, 0.500, 0.000], [0.000, 0.000, 0.500], [0.000, 0.500, 0.000], [0.500, 0.000, 0.000], [0.500, 0.500, 0.500]]
}

=====

{
  "formula": "YZr2Pt",
  "functional": "PBE",
  "state": "relaxed",
  "polymorph_energy_ev_per_atom": 0.172,
  "e_form_ev_per_atom": -0.35,
  "crystal_system": "tetragonal",
  "dos_ef_per_ev_atom": 1.56,
  "m_tot_mub_per_atom": 0.00,
  "lattice": [[4.214, 0.000, 0.000], [0.000, 4.214, 0.000], [0.000, 0.000, 4.960]],
  "species": ["Y", "Zr", "Zr", "Pt"],
  "fractional_positions": [[0.000, 0.000, 0.000], [0.000, 0.500, 0.500], [0.500, 0.000, 0.500], [0.500, 0.500, 0.000]]
}

=====

{
  "formula": "YbPt2",
  "functional": "PBE",
  "state": "relaxed",
  "e_form_ev_per_atom": -1.02,
  "crystal_system": "cubic",
  "dos_ef_per_ev_atom": 5.03,
  "m_tot_mub_per_atom": 0.08,
  "lattice": [[0.000, 3.846, 3.846], [3.846, 0.000, 3.846], [3.846, 3.846, 0.000]],
  "species": ["Yb", "Yb", "Pt", "Pt", "Pt", "Pt"],
  "fractional_positions": [[0.125, 0.125, 0.125], [0.875, 0.875, 0.875], [0.000, 0.500, 0.500], [0.500, 0.000, 0.500], [0.500, 0.500, 0.000], [0.500, 0.500, 0.500]]
}

=====

{
  "formula": "Yb5Pt3",
  "functional": "PBE",
  "state": "relaxed",
  "e_form_ev_per_atom": -0.99,
  "crystal_system": "hexagonal",
  "dos_ef_per_ev_atom": 8.68,
  "m_tot_mub_per_atom": 0.14,
  "lattice": [[8.465, 0.000, 0.000], [-4.232, 7.331, 0.000], [0.000, 0.000, 6.271]],
  "species": ["Yb", "Yb", "Yb", "Yb", "Yb", "Yb", "Yb", "Yb", "Yb", "Yb", "Pt", "Pt", "Pt", "Pt", "Pt", "Pt"],
  "fractional_positions": [[0.000, 0.262, 0.250], [0.000, 0.738, 0.750], [0.262, 0.000, 0.250], [0.262, 0.262, 0.750], [0.333, 0.667, 0.000], [0.333, 0.667, 0.500], [0.667, 0.333, 0.000], [0.667, 0.333, 0.500], [0.738, 0.000, 0.750], [0.738, 0.738, 0.250], [0.000, 0.389, 0.750], [0.000, 0.611, 0.250], [0.389, 0.000, 0.750], [0.389, 0.389, 0.250], [0.611, 0.000, 0.250], [0.611, 0.611, 0.750]]
}

=====

{
  "formula": "ZnPt4",
  "functional": "PBE",
  "state": "relaxed",
  "polymorph_energy_ev_per_atom": 1.225,
  "e_form_ev_per_atom": 0.98,
  "crystal_system": "cubic",
  "dos_ef_per_ev_atom": 1.61,
  "m_tot_mub_per_atom": 0.00,
  "lattice": [[4.555, 0.000, 0.000], [0.000, 4.555, 0.000], [0.000, 0.000, 4.555]],
  "species": ["Zn", "Pt", "Pt", "Pt", "Pt"],
  "fractional_positions": [[0.000, 0.000, 0.000], [0.000, 0.000, 0.500], [0.000, 0.500, 0.000], [0.500, 0.000, 0.000], [0.500, 0.500, 0.500]]
}

=====

{
  "formula": "ZnPt4",
  "functional": "PBE",
  "state": "relaxed",
  "polymorph_energy_ev_per_atom": 0.248,
  "e_form_ev_per_atom": 0.01,
  "crystal_system": "tetragonal",
  "dos_ef_per_ev_atom": 1.58,
  "m_tot_mub_per_atom": 0.00,
  "lattice": [[5.153, 0.000, 0.000], [0.000, 5.153, 0.000], [0.000, 0.000, 6.042]],
  "species": ["Zn", "Zn", "Pt", "Pt", "Pt", "Pt", "Pt", "Pt", "Pt", "Pt"],
  "fractional_positions": [[0.000, 0.000, 0.000], [0.500, 0.500, 0.500], [0.101, 0.261, 0.346], [0.239, 0.399, 0.846], [0.261, 0.899, 0.654], [0.399, 0.761, 0.154], [0.601, 0.239, 0.154], [0.739, 0.101, 0.654], [0.761, 0.601, 0.846], [0.899, 0.739, 0.346]]
}

=====

{
  "formula": "ZnPt",
  "functional": "PBE",
  "state": "relaxed",
  "e_form_ev_per_atom": -0.41,
  "crystal_system": "tetragonal",
  "dos_ef_per_ev_atom": 0.48,
  "m_tot_mub_per_atom": 0.00,
  "lattice": [[3.803, 0.000, 0.000], [0.000, 3.803, 0.000], [0.000, 0.000, 8.247]],
  "species": ["Zn", "Zn", "Zn", "Zn", "Pt", "Pt", "Pt", "Pt"],
  "fractional_positions": [[0.000, 0.250, 0.375], [0.000, 0.750, 0.625], [0.500, 0.250, 0.125], [0.500, 0.750, 0.875], [0.000, 0.250, 0.875], [0.000, 0.750, 0.125], [0.500, 0.250, 0.625], [0.500, 0.750, 0.375]]
}

=====

{
  "formula": "Zn3Pt",
  "functional": "PBE",
  "state": "relaxed",
  "e_form_ev_per_atom": -0.35,
  "crystal_system": "orthorhombic",
  "dos_ef_per_ev_atom": 0.33,
  "m_tot_mub_per_atom": 0.00,
  "lattice": [[6.432, 0.000, 0.000], [0.000, 8.267, 0.000], [0.000, 0.000, 4.956]],
  "species": ["Zn", "Zn", "Zn", "Zn", "Zn", "Zn", "Zn", "Zn", "Zn", "Zn", "Zn", "Zn", "Pt", "Pt", "Pt", "Pt"],
  "fractional_positions": [[0.011, 0.250, 0.102], [0.169, 0.538, 0.376], [0.169, 0.962, 0.376], [0.331, 0.038, 0.876], [0.331, 0.462, 0.876], [0.489, 0.750, 0.602], [0.511, 0.250, 0.398], [0.669, 0.538, 0.124], [0.669, 0.962, 0.124], [0.831, 0.038, 0.624], [0.831, 0.462, 0.624], [0.989, 0.750, 0.898], [0.141, 0.250, 0.593], [0.359, 0.750, 0.093], [0.641, 0.250, 0.907], [0.859, 0.750, 0.407]]
}